# Na2TiPd

A relaxed Na2TiPd crystal (GGA-PBE, the Alexandria database).

```
data_Na2TiPd
_chemical_formula_sum 'Na8 Ti4 Pd4'
_symmetry_space_group_name_H-M 'I -4 2 d'
_symmetry_Int_Tables_number 122
_symmetry_space_group_name_Hall 'I -4 2bw'
_cell_length_a 8.448
_cell_length_b 8.448
_cell_length_c 5.253
_cell_angle_alpha 90.00
_cell_angle_beta 90.00
_cell_angle_gamma 90.00
loop_
_atom_site_label
_atom_site_type_symbol
_atom_site_fract_x
_atom_site_fract_y
_atom_site_fract_z
_atom_site_occupancy
Na1 Na 0.204 0.750 0.125 1
Ti1 Ti 0.000 0.000 0.500 1
Pd1 Pd 0.000 0.000 0.000 1
```

excess energy over the best structure of this formula in the dataset	0.0	meV per atom
ΔH_f (0 K)	547	meV/atom
calculated total energy	-3.384	eV/atom
spin magnetization	9.26	μB per cell

---

# Na2TiPd2

A relaxed Na2TiPd2 crystal (GGA-PBE, the Alexandria database).

```
data_Na2TiPd2
_chemical_formula_sum 'Na4 Ti2 Pd4'
_symmetry_space_group_name_H-M 'I 4/m m m'
_symmetry_Int_Tables_number 139
_symmetry_space_group_name_Hall '-I 4 2'
_cell_length_a 4.794
_cell_length_b 4.794
_cell_length_c 8.164
_cell_angle_alpha 90.00
_cell_angle_beta 90.00
_cell_angle_gamma 90.00
loop_
_atom_site_label
_atom_site_type_symbol
_atom_site_fract_x
_atom_site_fract_y
_atom_site_fract_z
_atom_site_occupancy
Na1 Na 0.000 0.000 0.132 1
Ti1 Ti 0.000 0.000 0.500 1
Pd1 Pd 0.000 0.500 0.250 1
```

excess energy over the best structure of this formula in the dataset	292.2	meV per atom
ΔH_f (0 K)	493	meV/atom
calculated total energy	-3.691	eV/atom
spin magnetization	0.00	μB per cell

---

# NaTiPd4

A relaxed NaTiPd4 crystal (GGA-PBE, the Alexandria database).

```
data_NaTiPd4
_chemical_formula_sum 'Na4 Ti4 Pd16'
_symmetry_space_group_name_H-M 'C 1 2/m 1'
_symmetry_Int_Tables_number 12
_cell_length_a 12.645
_cell_length_b 6.564
_cell_length_c 5.373
_cell_angle_alpha 90.00
_cell_angle_beta 109.31
_cell_angle_gamma 90.00
loop_
_symmetry_equiv_pos_as_xyz
'x,y,z'
'-x,-y,-z'
'-x,y,-z'
'x,-y,z'
'x+1/2,y+1/2,z'
'-x+1/2,-y+1/2,-z'
'-x+1/2,y+1/2,-z'
'x+1/2,-y+1/2,z'
loop_
_atom_site_label
_atom_site_type_symbol
_atom_site_fract_x
_atom_site_fract_y
_atom_site_fract_z
_atom_site_occupancy
Na1 Na 0.206 0.000 0.137 1
Ti1 Ti 0.046 0.500 0.770 1
Pd1 Pd 0.000 0.202 0.000 1
Pd2 Pd 0.116 0.212 0.559 1
Pd3 Pd 0.174 0.500 0.247 1
```

ΔH_f (0 K)	-195	meV/atom
calculated total energy	-5.193	eV/atom
spin magnetization	0.00	μB per cell

---

# NaTiPd2

A relaxed NaTiPd2 crystal (GGA-PBE, the Alexandria database).

```
data_NaTiPd2
_chemical_formula_sum 'Na4 Ti4 Pd8'
_symmetry_space_group_name_H-M 'I -4 2 d'
_symmetry_Int_Tables_number 122
_symmetry_space_group_name_Hall 'I -4 2bw'
_cell_length_a 7.144
_cell_length_b 7.144
_cell_length_c 5.792
_cell_angle_alpha 90.00
_cell_angle_beta 90.00
_cell_angle_gamma 90.00
loop_
_atom_site_label
_atom_site_type_symbol
_atom_site_fract_x
_atom_site_fract_y
_atom_site_fract_z
_atom_site_occupancy
Na1 Na 0.000 0.000 0.000 1
Ti1 Ti 0.000 0.000 0.500 1
Pd1 Pd 0.216 0.250 0.625 1
```

ΔH_f (0 K)	23	meV/atom
calculated total energy	-4.877	eV/atom
spin magnetization	0.00	μB per cell

---

# NaTi2Pd9

A relaxed NaTi2Pd9 crystal (GGA-PBE, the Alexandria database).

```
data_NaTi2Pd9
_chemical_formula_sum 'Na1 Ti2 Pd9'
_symmetry_space_group_name_H-M 'P 4/m m m'
_symmetry_Int_Tables_number 123
_symmetry_space_group_name_Hall '-P 4 2'
_cell_length_a 3.962
_cell_length_b 3.962
_cell_length_c 11.880
_cell_angle_alpha 90.00
_cell_angle_beta 90.00
_cell_angle_gamma 90.00
loop_
_atom_site_label
_atom_site_type_symbol
_atom_site_fract_x
_atom_site_fract_y
_atom_site_fract_z
_atom_site_occupancy
Na1 Na 0.000 0.000 0.000 1
Ti1 Ti 0.000 0.000 0.331 1
Pd1 Pd 0.000 0.500 0.178 1
Pd2 Pd 0.000 0.500 0.500 1
Pd3 Pd 0.500 0.500 0.000 1
Pd4 Pd 0.500 0.500 0.339 1
```

ΔH_f (0 K)	-448	meV/atom
calculated total energy	-5.769	eV/atom
spin magnetization	0.00	μB per cell

---

# Na2TiPd2

A relaxed Na2TiPd2 crystal (GGA-PBE, the Alexandria database).

```
data_Na2TiPd2
_chemical_formula_sum 'Na4 Ti2 Pd4'
_symmetry_space_group_name_H-M 'P 4/m b m'
_symmetry_Int_Tables_number 127
_symmetry_space_group_name_Hall '-P 4 2ab'
_cell_length_a 7.901
_cell_length_b 7.901
_cell_length_c 2.897
_cell_angle_alpha 90.00
_cell_angle_beta 90.00
_cell_angle_gamma 90.00
loop_
_atom_site_label
_atom_site_type_symbol
_atom_site_fract_x
_atom_site_fract_y
_atom_site_fract_z
_atom_site_occupancy
Na1 Na 0.112 0.388 0.000 1
Ti1 Ti 0.000 0.000 0.000 1
Pd1 Pd 0.191 0.691 0.500 1
```

excess energy over the best structure of this formula in the dataset	0.0	meV per atom
ΔH_f (0 K)	200	meV/atom
calculated total energy	-3.983	eV/atom
spin magnetization	2.83	μB per cell

---

# Na2TiTlPd

A relaxed Na2TiTlPd crystal (GGA-PBE, the Alexandria database).

```
data_Na2TiTlPd
_chemical_formula_sum 'Na2 Ti1 Tl1 Pd1'
_symmetry_space_group_name_H-M 'P 4/m m m'
_symmetry_Int_Tables_number 123
_symmetry_space_group_name_Hall '-P 4 2'
_cell_length_a 5.328
_cell_length_b 5.328
_cell_length_c 4.886
_cell_angle_alpha 90.00
_cell_angle_beta 90.00
_cell_angle_gamma 90.00
loop_
_atom_site_label
_atom_site_type_symbol
_atom_site_fract_x
_atom_site_fract_y
_atom_site_fract_z
_atom_site_occupancy
Na1 Na 0.000 0.500 0.000 1
Ti1 Ti 0.000 0.000 0.500 1
Tl1 Tl 0.500 0.500 0.500 1
Pd1 Pd 0.000 0.000 0.000 1
```

ΔH_f (0 K)	368	meV/atom
calculated total energy	-3.250	eV/atom
spin magnetization	1.60	μB per cell

---

# NaTiV2Pd

A relaxed NaTiV2Pd crystal (GGA-PBE, the Alexandria database).

```
data_NaTiV2Pd
_chemical_formula_sum 'Na1 Ti1 V2 Pd1'
_symmetry_space_group_name_H-M 'P 4/m m m'
_symmetry_Int_Tables_number 123
_symmetry_space_group_name_Hall '-P 4 2'
_cell_length_a 4.399
_cell_length_b 4.399
_cell_length_c 4.589
_cell_angle_alpha 90.00
_cell_angle_beta 90.00
_cell_angle_gamma 90.00
loop_
_atom_site_label
_atom_site_type_symbol
_atom_site_fract_x
_atom_site_fract_y
_atom_site_fract_z
_atom_site_occupancy
Na1 Na 0.000 0.000 0.000 1
Ti1 Ti 0.000 0.000 0.500 1
V1 V 0.000 0.500 0.000 1
Pd1 Pd 0.500 0.500 0.500 1
```

excess energy over the best structure of this formula in the dataset	365.5	meV per atom
ΔH_f (0 K)	1962	meV/atom
calculated total energy	-4.567	eV/atom
spin magnetization	0.00	μB per cell

---

> Among the records above, which one has the lowest ΔH_f (0 K)?

NaTi2Pd9

---

What did the eighth record say?
# NaTiV2Pd

A relaxed NaTiV2Pd crystal (GGA-PBE, the Alexandria database).

```
data_NaTiV2Pd
_chemical_formula_sum 'Na1 Ti1 V2 Pd1'
_symmetry_space_group_name_H-M 'P 4/m m m'
_symmetry_Int_Tables_number 123
_symmetry_space_group_name_Hall '-P 4 2'
_cell_length_a 4.399
_cell_length_b 4.399
_cell_length_c 4.589
_cell_angle_alpha 90.00
_cell_angle_beta 90.00
_cell_angle_gamma 90.00
loop_
_atom_site_label
_atom_site_type_symbol
_atom_site_fract_x
_atom_site_fract_y
_atom_site_fract_z
_atom_site_occupancy
Na1 Na 0.000 0.000 0.000 1
Ti1 Ti 0.000 0.000 0.500 1
V1 V 0.000 0.500 0.000 1
Pd1 Pd 0.500 0.500 0.500 1
```

excess energy over the best structure of this formula in the dataset	365.5	meV per atom
ΔH_f (0 K)	1962	meV/atom
calculated total energy	-4.567	eV/atom
spin magnetization	0.00	μB per cell